Entry 1:
VASP calculation (PBE-GGA) on a relaxed structure of CeBiPd2.

```
CeBiPd2
1.0
-3.804 1.044 0.195
-1.022 -3.080 -3.450
-0.760 -3.373 3.237
Bi Pd Ce
1 2 1
direct
0.500 0.000 0.000
0.000 0.500 0.000
0.000 0.000 0.500
0.500 0.500 0.500
```

- Crystal system: tetragonal
- Formation enthalpy at 0 K: -206 kJ/mol of formula units
- Space group: P4/mmm, No. 123
- Calculated volume: 88.6 Å³ per cell

---

Entry 2:
VASP calculation (PBE-GGA) on a relaxed structure of KBeNi2.

```
KBeNi2
1.0
-0.934 0.519 -4.740
-1.226 -4.494 1.381
-2.359 0.937 0.655
K Ni Be
1 2 1
direct
0.000 0.500 0.500
0.000 0.000 0.000
0.500 0.500 0.000
0.500 0.000 0.500
```

- Crystal system: monoclinic
- Formation enthalpy at 0 K: 372 kJ/mol of formula units
- Space group: C2/m, No. 12
- Calculated volume: 58.4 Å³ per cell

---

Entry 3:
VASP calculation (PBE-GGA) on a relaxed structure of Dy5YTm4.

```
Dy5YTm4
1.0
6.272 0.000 0.000
3.136 7.144 0.000
3.136 0.000 7.144
Tm Y Dy
4 1 5
direct
0.103 0.298 0.398
0.799 0.702 0.602
0.401 0.398 0.702
0.501 0.602 0.298
0.224 0.000 0.000
0.682 0.000 0.000
0.715 0.090 0.379
0.094 0.621 0.090
0.185 0.910 0.621
0.805 0.379 0.910
```

- Crystal system: tetragonal
- Formation enthalpy at 0 K: 304 kJ/mol of formula units
- Space group: I4, No. 79
- Calculated volume: 320.1 Å³ per cell

---

Entry 4:
VASP calculation (PBE-GGA) on a relaxed structure of PrScSe.

```
PrScSe
1.0
-1.083 -3.064 -2.630
3.959 -1.341 -0.068
-1.567 -4.951 6.413
Se Pr Sc
2 2 2
direct
0.000 0.500 0.251
0.500 0.000 0.749
0.000 0.500 0.856
0.500 0.000 0.144
0.500 0.500 0.500
0.000 0.000 0.500
```

- Crystal system: tetragonal
- Space group: P4/nmm, No. 129
- Calculated volume: 144.2 Å³ per cell
- Energy above the lowest structure with this stoichiometry: 0.0000 eV per atom
- Formation energy (no corrections): -1.09 eV per atom

---

Entry 5:
VASP calculation (PBE-GGA) on a relaxed structure of NdY3B.

```
NdY3B
1.0
-0.975 -4.889 1.487
1.661 1.128 4.799
-4.832 1.375 1.350
B Y Nd
1 3 1
direct
0.000 0.000 0.000
0.500 0.000 0.000
0.000 0.500 0.000
0.000 0.000 0.500
0.500 0.500 0.500
```

- Crystal system: cubic
- Formation enthalpy at 0 K: 17 kJ/mol of formula units
- Space group: Pm-3m, No. 221
- Calculated volume: 140.8 Å³ per cell

---

Entry 6:
VASP calculation (PBE-GGA) on a relaxed structure of GaSb2Pd.

```
GaSb2Pd
1.0
3.161 0.000 0.000
1.581 2.738 0.000
1.581 0.913 10.793
Ga Pd Sb
1 1 2
direct
0.500 0.500 0.500
0.000 0.000 0.000
0.919 0.919 0.242
0.081 0.081 0.758
```

- Crystal system: trigonal
- Space group: R-3m, No. 166
- Calculated volume: 93.4 Å³ per cell
- Formation energy (no corrections): 0.14 eV per atom

---

Entry 7:
VASP calculation (PBE-GGA) on a relaxed structure of Pm5Al12Pd3.

```
Pm5Al12Pd3
1.0
14.115 0.000 0.000
-4.705 13.308 0.000
-4.705 -6.654 11.525
Al Pd Pm
48 12 20
direct
0.549 0.647 0.402
0.049 0.147 0.403
0.598 0.744 0.647
0.353 0.756 0.402
0.098 0.147 0.244
0.903 0.353 0.256
0.147 0.744 0.597
0.353 0.597 0.451
0.597 0.244 0.147
0.098 0.951 0.353
0.097 0.451 0.853
0.403 0.647 0.049
0.147 0.049 0.903
0.244 0.647 0.098
0.049 0.902 0.147
0.353 0.451 0.098
0.647 0.403 0.549
0.853 0.951 0.097
0.744 0.598 0.147
0.647 0.097 0.244
0.853 0.902 0.256
0.744 0.147 0.097
0.403 0.756 0.853
0.097 0.647 0.744
0.451 0.097 0.353
0.647 0.549 0.902
0.597 0.353 0.951
0.756 0.403 0.353
0.402 0.147 0.549
0.902 0.853 0.756
0.756 0.353 0.902
0.903 0.549 0.147
0.147 0.098 0.744
0.647 0.244 0.598
0.902 0.049 0.647
0.549 0.903 0.647
0.353 0.903 0.756
0.147 0.402 0.049
0.951 0.098 0.853
0.256 0.402 0.853
0.951 0.853 0.597
0.402 0.256 0.353
0.451 0.353 0.598
0.244 0.597 0.647
0.853 0.598 0.951
0.256 0.853 0.903
0.598 0.853 0.451
0.853 0.256 0.403
0.875 0.125 0.250
0.125 0.875 0.750
0.375 0.750 0.625
0.125 0.250 0.875
0.750 0.875 0.625
0.250 0.125 0.375
0.750 0.375 0.125
0.625 0.250 0.375
0.625 0.375 0.750
0.250 0.625 0.875
0.875 0.750 0.125
0.375 0.625 0.250
0.375 0.125 0.750
0.875 0.625 0.750
0.875 0.250 0.625
0.625 0.875 0.250
0.000 0.000 0.000
0.625 0.750 0.875
0.000 0.000 0.500
0.000 0.500 0.500
0.250 0.375 0.625
0.500 0.000 0.500
0.750 0.125 0.875
0.125 0.375 0.250
0.500 0.500 0.000
0.750 0.625 0.375
0.500 0.000 0.000
0.500 0.500 0.500
0.125 0.750 0.375
0.000 0.500 0.000
0.375 0.250 0.125
0.250 0.875 0.125
```

- Crystal system: cubic
- Formation enthalpy at 0 K: 295 kJ/mol of formula units
- Space group: Ia-3d, No. 230
- Calculated volume: 2164.9 Å³ per cell

---

Entry 8:
VASP calculation (PBE-GGA) on a relaxed structure of AcPr3Ho2.

```
AcPr3Ho2
1.0
-3.272 1.251 0.579
0.151 -2.290 5.798
5.410 9.072 0.090
Pr Ac Ho
3 1 2
direct
0.191 0.191 0.382
0.000 0.500 0.000
0.809 0.809 0.618
0.000 0.000 0.000
0.639 0.639 0.277
0.361 0.361 0.723
```

- Crystal system: orthorhombic
- Formation enthalpy at 0 K: 202 kJ/mol of formula units
- Space group: Immm, No. 71
- Calculated volume: 220.0 Å³ per cell
- Energy above the lowest structure with this stoichiometry: 0.2894 eV per atom

---

Entry 9:
VASP calculation (PBE-GGA) on a relaxed structure of Pm2Ag2SnO6.

```
Pm2Ag2SnO6
1.0
6.088 -0.186 0.911
-3.171 5.200 0.911
-0.310 -0.533 6.454
Pm O Ag Sn
2 6 2 1
direct
0.662 0.338 0.500
0.338 0.662 0.500
0.334 0.334 0.351
0.262 0.953 0.672
0.047 0.738 0.328
0.738 0.047 0.328
0.666 0.666 0.649
0.953 0.262 0.672
0.151 0.849 0.000
0.849 0.151 0.000
0.000 0.000 0.500
```

- Crystal system: monoclinic
- Space group: C2/m, No. 12
- Calculated volume: 206.5 Å³ per cell
- Formation energy (no corrections): -1.94 eV per atom

---

Entry 10:
VASP calculation (PBE-GGA) on a relaxed structure of Ca3Si4.

```
Ca3Si4
1.0
3.273 -5.668 0.000
3.273 5.668 0.000
0.000 0.000 4.719
Si Ca
4 3
direct
0.667 0.333 0.500
0.000 0.000 0.239
0.333 0.667 0.500
0.000 0.000 0.761
0.000 0.500 0.000
0.500 0.000 0.000
0.500 0.500 0.000
```

- Crystal system: hexagonal
- Space group: P6/mmm, No. 191
- Calculated volume: 175.1 Å³ per cell
- Energy above the lowest structure with this stoichiometry: 0.6270 eV per atom
- Formation energy (no corrections): 0.15 eV per atom

---

Entry 11:
VASP calculation (PBE-GGA) on a relaxed structure of ZrZnCo2.

```
ZrZnCo2
1.0
3.133 0.000 0.000
0.000 3.119 -0.007
0.000 3.132 5.731
Zn Co Zr
1 2 1
direct
0.500 0.250 0.250
0.000 0.981 0.019
0.000 0.519 0.481
0.500 0.750 0.750
```

- Crystal system: orthorhombic
- Formation enthalpy at 0 K: -75 kJ/mol of formula units
- Space group: Pmmm, No. 47
- Calculated volume: 56.1 Å³ per cell

---

Entry 12:
VASP calculation (PBE-GGA) on a relaxed structure of CaSnO3.

```
CaSnO3
1.0
-3.132 -0.804 2.404
0.704 -3.946 -0.402
2.435 0.108 3.208
O Sn Ca
3 1 1
direct
0.500 0.000 0.000
0.000 0.500 0.000
0.000 0.000 0.500
0.000 0.000 0.000
0.500 0.500 0.500
```

- Crystal system: cubic
- Space group: Pm-3m, No. 221
- Calculated volume: 65.4 Å³ per cell
- Formation energy (no corrections): -2.06 eV per atom

---

Entry 13:
VASP calculation (PBE-GGA) on a relaxed structure of Hg2AsRh2.

```
Hg2AsRh2
1.0
-1.264 -3.569 0.269
1.371 -0.219 3.533
-5.917 0.406 4.362
Hg As Rh
2 1 2
direct
0.250 0.750 0.500
0.750 0.250 0.500
0.000 0.000 0.000
0.408 0.408 0.184
0.592 0.592 0.816
```

- Crystal system: tetragonal
- Formation enthalpy at 0 K: 238 kJ/mol of formula units
- Space group: I4/mmm, No. 139
- Calculated volume: 98.8 Å³ per cell
- Energy above the lowest structure with this stoichiometry: 0.5117 eV per atom

---

Entry 14:
VASP calculation (PBE-GGA) on a relaxed structure of Pu3Ga7Ir2.

```
Pu3Ga7Ir2
1.0
-5.352 -0.801 0.516
-2.367 -4.222 -2.474
-1.142 -6.649 6.467
Ga Pu Ir
7 3 2
direct
0.931 0.417 0.236
0.417 0.417 0.236
0.583 0.583 0.764
0.583 0.069 0.764
0.069 0.583 0.764
0.417 0.931 0.236
0.500 0.500 0.500
0.000 0.000 0.000
0.850 0.850 0.450
0.150 0.150 0.550
0.337 0.337 0.988
0.663 0.663 0.012
```

- Crystal system: trigonal
- Formation enthalpy at 0 K: -456 kJ/mol of formula units
- Space group: R-3m, No. 166
- Calculated volume: 225.2 Å³ per cell
- Energy above the lowest structure with this stoichiometry: 0.0000 eV per atom

---

Entry 15:
VASP calculation (PBE-GGA) on a relaxed structure of LiAgHgAs.

```
LiAgHgAs
1.0
-4.175 -1.820 1.353
-0.540 -4.708 0.345
-0.432 -2.035 4.271
As Li Ag Hg
1 1 1 1
direct
0.000 0.000 0.000
0.250 0.250 0.250
0.750 0.750 0.750
0.500 0.500 0.500
```

- Crystal system: cubic
- Formation enthalpy at 0 K: -39 kJ/mol of formula units
- Space group: F-43m, No. 216
- Calculated volume: 75.8 Å³ per cell

---

Entry 16:
VASP calculation (PBE-GGA) on a relaxed structure of Ac5HgPb2.

```
Ac5HgPb2
1.0
-5.901 2.524 0.067
1.006 -5.755 -1.990
-2.536 -6.385 17.185
Hg Ac Pb
2 10 4
direct
0.703 0.407 0.750
0.297 0.593 0.250
0.724 0.448 0.250
0.084 0.169 0.102
0.916 0.831 0.898
0.418 0.836 0.410
0.916 0.831 0.602
0.084 0.169 0.398
0.582 0.164 0.590
0.582 0.164 0.910
0.418 0.836 0.090
0.276 0.552 0.750
0.756 0.512 0.432
0.244 0.488 0.568
0.244 0.488 0.932
0.756 0.512 0.068
```

- Crystal system: orthorhombic
- Formation enthalpy at 0 K: -200 kJ/mol of formula units
- Space group: Cmcm, No. 63
- Calculated volume: 626.3 Å³ per cell
- Energy above the lowest structure with this stoichiometry: 0.1146 eV per atom

---

Entry 17:
VASP calculation (PBE-GGA) on a relaxed structure of Ta2HgMo.

```
Ta2HgMo
1.0
-0.189 -0.001 -3.300
-2.327 -2.344 0.134
-4.719 4.699 0.269
Hg Ta Mo
1 2 1
direct
0.500 0.500 0.250
0.000 0.000 0.526
0.000 0.000 0.974
0.500 0.500 0.750
```

- Crystal system: tetragonal
- Formation enthalpy at 0 K: 43 kJ/mol of formula units
- Space group: P4/mmm, No. 123
- Calculated volume: 72.8 Å³ per cell

---

Entry 18:
VASP calculation (PBE-GGA) on a relaxed structure of Mo3Cl.

```
Mo3Cl
1.0
3.063 0.000 0.000
0.000 3.048 -0.488
0.000 1.179 7.359
Mo Cl
3 1
direct
0.500 0.000 0.710
0.500 0.000 0.290
0.000 0.500 0.500
0.000 0.000 0.000
```

- Crystal system: orthorhombic
- Space group: Pmmm, No. 47
- Calculated volume: 70.4 Å³ per cell
- Energy above the lowest structure with this stoichiometry: 0.0000 eV per atom
- Formation energy (no corrections): 0.25 eV per atom

---

Entry 19:
VASP calculation (PBE-GGA) on a relaxed structure of CaLa2TiTl.

```
CaLa2TiTl
1.0
6.078 0.000 0.000
0.000 5.766 0.000
0.000 0.000 6.078
Ca La Tl Ti
1 2 1 1
direct
0.000 0.500 0.000
0.500 0.000 0.000
0.000 0.000 0.500
0.000 0.000 0.000
0.500 0.500 0.500
```

- Crystal system: tetragonal
- Formation enthalpy at 0 K: 333 kJ/mol of formula units
- Space group: P4/mmm, No. 123
- Calculated volume: 213.0 Å³ per cell

---

Entry 20:
VASP calculation (PBE-GGA) on a relaxed structure of Tb2ErTe2S2.

```
Tb2ErTe2S2
1.0
5.007 0.000 0.000
0.000 5.007 0.000
-2.504 -2.504 7.834
Te Tb S Er
2 2 2 1
direct
0.189 0.189 0.377
0.811 0.811 0.623
0.612 0.612 0.225
0.388 0.388 0.775
0.000 0.500 0.000
0.500 0.000 0.000
0.000 0.000 0.000
```

- Crystal system: tetragonal
- Space group: I4/mmm, No. 139
- Calculated volume: 196.4 Å³ per cell
- Formation energy (no corrections): -1.38 eV per atom